No. 1
The following is a GGA-PBE calculation of a relaxed structure of YAsO2, from Alexandria via LeMat-Bulk.

```
YAsO2
1.0
1.9879 0.0000 6.4118
-0.9939 1.7216 6.4118
-0.9939 -1.7216 6.4118
Y As O
1 1 2
Direct
0.0000 0.0000 0.0000
0.5000 0.5000 0.5000
0.8863 0.8863 0.8863
0.1137 0.1137 0.1137
```

Summary:
Total moment   0.0 Bohr magnetons per cell
ρ   4.94 g/cm³
N(E_F)   0.79 states/eV per cell

=====

No. 2
The following is a GGA-PBE calculation of a relaxed structure of YAsO3, from Alexandria via LeMat-Bulk.

```
YAsO3
1.0
-3.3143 -2.1958 -0.1811
2.2004 -3.2821 -0.4744
0.1124 -0.4952 3.9473
Y As O
1 1 3
Direct
0.5000 0.5000 0.5000
0.0000 0.0000 0.0000
0.0000 0.5000 0.0000
0.0000 0.0000 0.5000
0.5000 0.0000 0.0000
```

Summary:
Total moment   0.0 Bohr magnetons per cell
ρ   5.58 g/cm³
N(E_F)   1.32 states/eV per cell

=====

No. 3
The following is a GGA-PBE calculation of a relaxed structure of YAs3O, from Alexandria via LeMat-Bulk.

```
YAs3O
1.0
4.4827 0.0000 0.0000
0.0000 4.4827 0.0000
0.0000 0.0000 4.4827
Y As O
1 3 1
Direct
0.5000 0.5000 0.5000
0.0000 0.5000 0.0000
0.0000 0.0000 0.5000
0.5000 0.0000 0.0000
0.0000 0.0000 0.0000
```

Summary:
Total moment   0.0 Bohr magnetons per cell
ρ   6.08 g/cm³
N(E_F)   2.10 states/eV per cell

=====

No. 4
The following is a GGA-PBE calculation of a relaxed structure of YZnAs2O8, from Alexandria via LeMat-Bulk.

```
YZnAs2O8
1.0
5.8996 0.0600 0.0000
-2.5629 5.3142 0.0000
-1.6684 -2.6871 4.9805
Y Zn As O
1 1 2 8
Direct
0.0000 0.0000 0.0000
0.2500 0.7500 0.5000
0.7500 0.2500 0.5000
0.5000 0.5000 0.0000
0.3892 0.0723 0.3169
0.3226 0.5096 0.1870
0.3226 0.1356 0.8130
0.7555 0.0723 0.6831
0.8644 0.6774 0.1870
0.9277 0.2445 0.3169
0.9277 0.6108 0.6831
0.4904 0.6774 0.8130
```

Summary:
Total moment   1.1 Bohr magnetons per cell
ρ   4.57 g/cm³
N(E_F)   9.88 states/eV per cell

=====

| no. | ΔE_f (raw) (eV per atom) | raw total energy (eV/atom) |
| --- | --- | --- |
| 1 | -1.0908 | -6.348 |
| 2 | -1.6473 | -6.845 |
| 3 | -0.5063 | -5.580 |
| 4 | -1.5898 | -6.315 |